No. 1
Entry from OQMD via LeMat-Bulk: La2ErIn3AgPd2 after structural relaxation (PBE-GGA).

Cell: 3.991 7.883 7.883 Å, 119.94 90.00 90.00°
Positions (direct):
La 0.000 0.207 0.793
La 0.000 0.793 0.207
Er 0.000 0.617 0.617
In 0.500 0.214 0.469
In 0.500 0.469 0.214
In 0.500 0.938 0.938
Ag 0.000 0.208 0.208
Pd 0.500 0.542 0.866
Pd 0.500 0.866 0.542

The space-group type is Amm2 (38). For the uncorrected energy, the calculation gives -4.663 eV per atom.



No. 2
Entry from OQMD via LeMat-Bulk: RbTlCu after structural relaxation (PBE-GGA).

Cell: 7.930 7.930 7.930 Å, 90.00 90.00 90.00°
Positions (direct):
Rb 0.000 0.000 0.000
Rb 0.000 0.500 0.500
Rb 0.500 0.000 0.500
Rb 0.500 0.500 0.000
Tl 0.250 0.250 0.250
Tl 0.250 0.750 0.750
Tl 0.750 0.250 0.750
Tl 0.750 0.750 0.250
Cu 0.250 0.250 0.750
Cu 0.250 0.750 0.250
Cu 0.750 0.250 0.250
Cu 0.750 0.750 0.750

The space-group type is F-43m (216). The calculation puts the distance to the lowest polymorph of the same formula at 319.3 meV per atom.



No. 3
Entry from OQMD via LeMat-Bulk: LuSnIr after structural relaxation (PBE-GGA).

Cell: 7.471 7.471 3.827 Å, 90.00 90.00 120.00°
Positions (direct):
Lu 0.000 0.596 0.000
Lu 0.404 0.404 0.000
Lu 0.596 0.000 0.000
Sn 0.000 0.264 0.500
Sn 0.264 0.000 0.500
Sn 0.736 0.736 0.500
Ir 0.000 0.000 0.000
Ir 0.333 0.667 0.500
Ir 0.667 0.333 0.500

The space-group type is P-62m (189). For the uncorrected energy, the calculation gives -6.640 eV per atom.



No. 4
Entry from OQMD via LeMat-Bulk: SmMgTlS3 after structural relaxation (PBE-GGA).

Cell: 11.078 4.147 14.120 Å, 90.00 90.00 90.00°
Positions (direct):
Sm 0.016 0.250 0.237
Sm 0.484 0.750 0.737
Sm 0.516 0.250 0.263
Sm 0.984 0.750 0.763
Mg 0.232 0.250 0.711
Mg 0.268 0.750 0.211
Mg 0.732 0.250 0.789
Mg 0.768 0.750 0.289
Tl 0.210 0.750 0.493
Tl 0.290 0.250 0.993
Tl 0.710 0.750 0.007
Tl 0.790 0.250 0.507
S 0.040 0.250 0.632
S 0.087 0.750 0.118
S 0.237 0.750 0.809
S 0.263 0.250 0.309
S 0.413 0.250 0.618
S 0.460 0.750 0.132
S 0.540 0.250 0.868
S 0.587 0.750 0.382
S 0.737 0.750 0.691
S 0.763 0.250 0.191
S 0.913 0.250 0.882
S 0.960 0.750 0.368

The space-group type is Pnma (62). The calculation puts the distance to the lowest polymorph of the same formula at 0.0 meV per atom.



No. 5
Entry from OQMD via LeMat-Bulk: AcGe2Au2 after structural relaxation (PBE-GGA).

Cell: 4.615 4.615 10.539 Å, 90.00 90.00 90.00°
Positions (direct):
Ac 0.250 0.250 0.249
Ac 0.750 0.750 0.751
Ge 0.250 0.250 0.870
Ge 0.250 0.750 0.500
Ge 0.750 0.250 0.500
Ge 0.750 0.750 0.130
Au 0.250 0.250 0.626
Au 0.250 0.750 0.000
Au 0.750 0.250 0.000
Au 0.750 0.750 0.374

The space-group type is P4/nmm (129). For the uncorrected energy, the calculation gives -4.590 eV per atom.



No. 6
Entry from OQMD via LeMat-Bulk: Nb4Cd3W2C3 after structural relaxation (PBE-GGA).

Cell: 5.468 5.468 14.785 Å, 100.71 100.71 60.04°
Positions (direct):
Nb 0.031 0.192 0.083
Nb 0.136 0.306 0.417
Nb 0.192 0.031 0.583
Nb 0.306 0.136 0.917
Nb 0.694 0.864 0.083
Nb 0.808 0.969 0.417
Nb 0.864 0.694 0.583
Nb 0.969 0.808 0.917
Cd 0.102 0.898 0.250
Cd 0.265 0.419 0.751
Cd 0.419 0.265 0.251
Cd 0.581 0.735 0.749
Cd 0.735 0.581 0.249
Cd 0.898 0.102 0.750
W 0.355 0.525 0.075
W 0.475 0.645 0.425
W 0.525 0.355 0.575
W 0.645 0.475 0.925
C 0.000 0.500 0.000
C 0.170 0.665 0.500
C 0.335 0.830 0.000
C 0.500 0.000 0.500
C 0.665 0.170 0.000
C 0.830 0.335 0.500

The space-group type is C2/c (15). For the uncorrected energy, the calculation gives -8.233 eV per atom.



No. 7
Entry from OQMD via LeMat-Bulk: Pr2NdSi4Pd4 after structural relaxation (PBE-GGA).

Cell: 12.648 12.648 12.648 Å, 160.90 160.57 27.38°
Positions (direct):
Pr 0.147 0.147 0.000
Pr 0.853 0.853 0.000
Nd 0.500 0.000 0.500
Si 0.049 0.549 0.500
Si 0.303 0.303 0.000
Si 0.697 0.697 0.000
Si 0.951 0.451 0.500
Pd 0.251 0.751 0.500
Pd 0.403 0.403 0.000
Pd 0.597 0.597 0.000
Pd 0.749 0.249 0.500

The space-group type is Immm (71). For the uncorrected energy, the calculation gives -6.087 eV per atom.



No. 8
Entry from OQMD via LeMat-Bulk: TmGaPd after structural relaxation (PBE-GGA).

Cell: 6.842 4.433 7.638 Å, 90.00 90.00 90.00°
Positions (direct):
Tm 0.017 0.250 0.198
Tm 0.483 0.750 0.698
Tm 0.517 0.250 0.302
Tm 0.983 0.750 0.802
Ga 0.175 0.250 0.574
Ga 0.325 0.750 0.074
Ga 0.675 0.250 0.926
Ga 0.825 0.750 0.426
Pd 0.224 0.750 0.401
Pd 0.276 0.250 0.901
Pd 0.724 0.750 0.099
Pd 0.776 0.250 0.599

The space-group type is Pnma (62). For the uncorrected energy, the calculation gives -5.132 eV per atom.